# 1
A plane-wave DFT calculation with PBE was carried out for a relaxed structure of Er2I.

The space group is Fd-3m (No. 227, origin choice 2) and the conventional cell measures 9.350, 9.350 and 9.350 Å, with angles of 90.00, 90.00 and 90.00 degrees. The inequivalent atoms are Er at (0.000, 0.000, 0.000) and I at (0.125, 0.125, 0.625).

As for the crystal system: cubic. The calculation puts the total magnetization at 0.00 μB/f.u. Its calculated total energy is -3.377 eV/atom.



# 2
A plane-wave DFT calculation with PBE was carried out for a relaxed structure of Er2I.

The space group is P4_2/mnm (No. 136) and the conventional cell measures 6.873, 6.873 and 4.250 Å, with angles of 90.00, 90.00 and 90.00 degrees. The inequivalent atoms are Er at (0.205, 0.205, 0.000) and I at (0.000, 0.000, 0.500).

As for the crystal system: tetragonal. The calculation puts the total magnetization at 0.00 μB/f.u. Its calculated total energy is -3.475 eV/atom.



# 3
A plane-wave DFT calculation with PBE was carried out for a relaxed structure of Er6I7.

The space group is C2/m (No. 12) and the conventional cell measures 21.947, 3.954 and 12.431 Å, with angles of 90.00, 122.61 and 90.00 degrees. The inequivalent atoms are Er at (0.130, 0.000, 0.049), Er at (0.186, 0.500, 0.878), Er at (0.238, 0.000, 0.702), I at (0.000, 0.500, 0.000), I at (0.050, 0.000, 0.765), I at (0.114, 0.500, 0.568) and I at (0.166, 0.000, 0.332).

As for the crystal system: monoclinic. The calculation puts the total magnetization at 0.58 μB/f.u. Its calculated total energy is -3.831 eV/atom.



# 4
A plane-wave DFT calculation with PBE was carried out for a relaxed structure of ErInI6.

The space group is C2 (No. 5) and the conventional cell measures 7.546, 13.084 and 7.648 Å, with angles of 90.00, 108.71 and 90.00 degrees. The inequivalent atoms are Er at (0.000, 0.000, 0.000), In at (0.000, 0.332, 0.000), I at (0.222, 0.169, 0.243), I at (0.243, 0.341, 0.762) and I at (0.249, 0.488, 0.239).

As for the crystal system: monoclinic. The calculation puts the total magnetization at 0.00 μB/f.u. Its calculated total energy is -2.996 eV/atom.



# 5
A plane-wave DFT calculation with PBE was carried out for a relaxed structure of Er7IrI12.

The space group is R-3 (No. 148, hexagonal axes) and the conventional cell measures 15.6018, 15.6018 and 10.9098 Å, with angles of 90.00, 90.00 and 120.00 degrees. The inequivalent atoms are Er at (0.0000, 0.0000, 0.0000), Er at (0.0432, 0.1580, 0.3634), Ir at (0.0000, 0.0000, 0.5000), I at (0.0175, 0.5865, 0.1560) and I at (0.0496, 0.1758, 0.8384).

As for the crystal system: trigonal. The calculation puts the total magnetization at 0.02 μB/f.u. Its calculated total energy is -4.214 eV/atom.



# 6
A plane-wave DFT calculation with PBE was carried out for a relaxed structure of K2NaErI6.

The space group is Fm-3m (No. 225) and the conventional cell measures 12.180, 12.180 and 12.180 Å, with angles of 90.00, 90.00 and 90.00 degrees. The inequivalent atoms are K at (0.250, 0.250, 0.250), Na at (0.000, 0.000, 0.000), Er at (0.000, 0.000, 0.500) and I at (0.000, 0.000, 0.255).

As for the crystal system: cubic. The calculation puts the total magnetization at 0.00 μB/f.u. Its calculated total energy is -3.080 eV/atom.